# AgSnBr3

A relaxed structure of AgSnBr3 (PBE, Alexandria via LeMat-Bulk).

Output
**Crystal system**: orthorhombic
**Uncorrected formation energy**: -571 meV per atom
**N(E_F)**: 0.00 states/eV/cell

a = 4.2512 Å, b = 21.0293 Å, c = 7.5392 Å
α = 90.00°, β = 90.00°, γ = 90.00°
Last column: nearest neighbours and their distance in Å.
Space group Cmc2_1 (No. 36)
Inequivalent atoms, fractional coordinates:
Ag 0.0000 0.1346 0.0000 (multiplicity 4)  3 Br 2.74
Sn 0.0000 0.3351 0.0106 (multiplicity 4)  5 Br 2.85-3.10
Br 0.0000 0.0846 0.6641 (multiplicity 4)  1 Ag 2.74, 2 Sn 2.95
Br 0.0000 0.2620 0.3840 (multiplicity 4)  3 Sn 3.10-3.21, 2 Ag 3.16
Br 0.0000 0.4093 0.6951 (multiplicity 4)  2 Ag 2.74, 1 Sn 2.85